DFT (PBE) results for a relaxed NdCN crystal.

Unit cell a=7.0519 b=4.0012 c=7.1638 alpha=90.00 beta=94.57 gamma=90.00
Space group C2/m (No. 12)
Asymmetric unit:
Nd 0.1483 0.0000 0.2825 x4
C 0.0614 0.5000 0.9403 x4
N 0.1804 0.0000 0.6205 x4

## Properties
* total DFT energy (no corrections): -7.545 eV/atom
* formation energy (no corrections): -105.6 meV/atom